Ho2Si7Ni12: relaxed, PBE-GGA.

Computed properties:
Total moment in μB per formula unit: 0.0

Cell lengths 9.1952, 9.1952, 3.6861 Å; angles 90.00, 90.00, 120.00 degrees
Last column: nearest neighbours and their distance in Å.
Positions (direct):
Ho 0.0000 0.0000 0.0000  6 Si 2.93, 12 Ni 3.04-3.19
Ho 0.3333 0.6667 0.5000  6 Si 2.93, 9 Ni 2.98-3.20
Si 0.0621 0.4506 0.0000  7 Ni 2.27-2.52
Si 0.2638 0.2294 0.5000  7 Ni 2.31-2.38
Si 0.3885 0.9379 0.0000  7 Ni 2.27-2.52
Si 0.5494 0.6115 0.0000  7 Ni 2.27-2.52
Si 0.6667 0.3333 0.0000  9 Ni 2.22-2.48
Si 0.7706 0.0344 0.5000  7 Ni 2.31-2.38
Si 0.9656 0.7362 0.5000  7 Ni 2.31-2.38
Ni 0.0406 0.2814 0.5000  4 Si 2.33-2.38, 2 Ni 2.59
Ni 0.1109 0.7217 0.0000  4 Si 2.30-2.32, 1 Ni 2.54
Ni 0.2408 0.9594 0.5000  4 Si 2.33-2.38, 2 Ni 2.59
Ni 0.2783 0.3892 0.0000  4 Si 2.30-2.32, 1 Ni 2.54
Ni 0.3878 0.1842 0.0000  4 Si 2.22-2.31
Ni 0.5523 0.4266 0.5000  5 Si 2.35-2.52
Ni 0.5734 0.1257 0.5000  5 Si 2.35-2.52
Ni 0.6108 0.8891 0.0000  4 Si 2.30-2.32, 1 Ni 2.54
Ni 0.7186 0.7592 0.5000  4 Si 2.33-2.38, 2 Ni 2.59
Ni 0.7964 0.6122 0.0000  4 Si 2.22-2.31
Ni 0.8158 0.2036 0.0000  4 Si 2.22-2.31
Ni 0.8743 0.4477 0.5000  5 Si 2.35-2.52

***

HoSi3Ni2: relaxed, PBE-GGA.

Computed properties:
Total moment in μB per formula unit: 0.0

Cell lengths 5.8320, 5.8320, 5.2735 Å; angles 90.00, 90.00, 77.67 degrees
Last column: nearest neighbours and their distance in Å.
Positions (direct):
Ho 0.1674 0.8326 0.7500  7 Si 2.78-3.06
Ho 0.8326 0.1674 0.2500  7 Si 2.78-3.06
Si 0.0391 0.6398 0.2500  2 Ni 2.29, 1 Si 2.36
Si 0.3602 0.9609 0.2500  2 Ni 2.29, 1 Si 2.36
Si 0.4529 0.5471 0.2500  4 Ni 2.34, 2 Si 2.36
Si 0.5471 0.4529 0.7500  4 Ni 2.34, 2 Si 2.36
Si 0.6398 0.0391 0.7500  2 Ni 2.29, 1 Si 2.36
Si 0.9609 0.3602 0.7500  2 Ni 2.29, 1 Si 2.36
Ni 0.2902 0.2902 0.0000  4 Si 2.29-2.34
Ni 0.2902 0.2902 0.5000  4 Si 2.29-2.34
Ni 0.7098 0.7098 0.0000  4 Si 2.29-2.34
Ni 0.7098 0.7098 0.5000  4 Si 2.29-2.34

***

HoSi2Ni3: relaxed, PBE-GGA.

Computed properties:
Total moment in μB per formula unit: 0.0

Cell lengths 7.8610, 7.8610, 9.2621 Å; angles 107.21, 107.21, 27.72 degrees
Last column: nearest neighbours and their distance in Å.
Positions (direct):
Ho 0.0000 0.0000 0.0000  6 Si 2.92-2.96, 6 Ni 2.92-3.02
Ho 0.1555 0.1555 0.6984  6 Si 2.90-2.96, 10 Ni 3.00-3.24
Ho 0.8445 0.8445 0.3016  6 Si 2.90-2.96, 10 Ni 3.00-3.24
Si 0.1999 0.1999 0.1309  6 Ni 2.32-2.39
Si 0.3613 0.3613 0.5488  7 Ni 2.24-2.38
Si 0.4688 0.4688 0.2263  5 Ni 2.31-2.47
Si 0.5312 0.5312 0.7737  5 Ni 2.31-2.47
Si 0.6387 0.6387 0.4512  7 Ni 2.24-2.38
Si 0.8001 0.8001 0.8691  6 Ni 2.32-2.39
Ni 0.0468 0.0468 0.3409  4 Si 2.31-2.38, 1 Ni 2.48
Ni 0.2164 0.2164 0.3928  4 Si 2.24-2.37, 1 Ni 2.48
Ni 0.3228 0.3228 0.0320  4 Si 2.32-2.40, 1 Ni 2.53
Ni 0.3743 0.3743 0.7975  4 Si 2.25-2.47
Ni 0.5000 0.5000 0.5000  4 Si 2.30-2.43
Ni 0.6257 0.6257 0.2025  4 Si 2.25-2.47
Ni 0.6772 0.6772 0.9680  4 Si 2.32-2.40, 1 Ni 2.53
Ni 0.7836 0.7836 0.6072  4 Si 2.24-2.37, 1 Ni 2.48
Ni 0.9532 0.9532 0.6591  4 Si 2.31-2.38, 1 Ni 2.48

***

HoSi2Ni4: relaxed, PBE-GGA.

Computed properties:
Total moment in μB per formula unit: 0.0

Cell lengths 15.9404, 3.9402, 6.0628 Å; angles 90.00, 90.00, 90.00 degrees
Last column: nearest neighbours and their distance in Å.
Positions (direct):
Ho 0.1395 0.2500 0.0049  9 Ni 2.77-2.98, 4 Si 2.96-3.01
Ho 0.3605 0.7500 0.5049  9 Ni 2.77-2.98, 4 Si 2.96-3.01
Ho 0.6395 0.2500 0.4951  9 Ni 2.77-2.98, 4 Si 2.96-3.01
Ho 0.8605 0.7500 0.9951  9 Ni 2.77-2.98, 4 Si 2.96-3.01
Si 0.0406 0.7500 0.2612  7 Ni 2.34-2.48
Si 0.2176 0.2500 0.5222  7 Ni 2.28-2.37
Si 0.2824 0.7500 0.0222  7 Ni 2.28-2.37
Si 0.4594 0.2500 0.7612  7 Ni 2.34-2.48
Si 0.5406 0.7500 0.2388  7 Ni 2.34-2.48
Si 0.7176 0.2500 0.9778  7 Ni 2.28-2.37
Si 0.7824 0.7500 0.4778  7 Ni 2.28-2.37
Si 0.9594 0.2500 0.7388  7 Ni 2.34-2.48
Ni 0.0255 0.7500 0.8539  3 Si 2.34-2.48, 1 Ni 2.62
Ni 0.0723 0.2500 0.4929  4 Si 2.32-2.47
Ni 0.1878 0.7500 0.3180  4 Si 2.34-2.37, 1 Ni 2.44
Ni 0.1976 0.7500 0.7191  3 Si 2.28-2.33, 1 Ni 2.44
Ni 0.3024 0.2500 0.2191  3 Si 2.28-2.33, 1 Ni 2.44
Ni 0.3122 0.2500 0.8180  4 Si 2.34-2.37, 1 Ni 2.44
Ni 0.4277 0.7500 0.9929  4 Si 2.32-2.47
Ni 0.4745 0.2500 0.3539  3 Si 2.34-2.48, 1 Ni 2.62
Ni 0.5255 0.7500 0.6461  3 Si 2.34-2.48, 1 Ni 2.62
Ni 0.5723 0.2500 0.0071  4 Si 2.32-2.47
Ni 0.6878 0.7500 0.1820  4 Si 2.34-2.37, 1 Ni 2.44
Ni 0.6976 0.7500 0.7809  3 Si 2.28-2.33, 1 Ni 2.44
Ni 0.8024 0.2500 0.2809  3 Si 2.28-2.33, 1 Ni 2.44
Ni 0.8122 0.2500 0.6820  4 Si 2.34-2.37, 1 Ni 2.44
Ni 0.9277 0.7500 0.5071  4 Si 2.32-2.47
Ni 0.9745 0.2500 0.1461  3 Si 2.34-2.48, 1 Ni 2.62

***

Ho4Si3Ni: relaxed, PBE-GGA.

Computed properties:
Total moment in μB per formula unit: 0.0

Cell lengths 3.8598, 4.1670, 10.5598 Å; angles 90.00, 90.00, 90.00 degrees
Last column: nearest neighbours and their distance in Å.
Positions (direct):
Ho 0.0000 0.0000 0.0000  6 Si 2.95-3.13, 1 Ni 3.00
Ho 0.0000 0.5000 0.4929  5 Si 2.93-3.03, 2 Ni 3.04
Ho 0.5000 0.0000 0.7114  7 Si 2.93-3.07
Ho 0.5000 0.5000 0.2178  4 Ni 2.92, 3 Si 3.01-3.09
Si 0.0000 0.5000 0.7794  2 Si 2.47
Si 0.5000 0.0000 0.4241  2 Ni 2.43
Si 0.5000 0.5000 0.9255  2 Si 2.47
Ni 0.0000 0.0000 0.2839  2 Si 2.43

***

Ho2Si3Ni5: relaxed, PBE-GGA.

Computed properties:
Total moment in μB per formula unit: 0.0

Cell lengths 11.5061, 11.5061, 6.7148 Å; angles 90.00, 90.00, 160.24 degrees
Last column: nearest neighbours and their distance in Å.
Positions (direct):
Ho 0.0492 0.9508 0.5000  6 Ni 2.84-3.06, 5 Si 2.87-2.97
Ho 0.3374 0.6626 0.6871  7 Ni 2.90-3.03, 5 Si 2.99-3.23
Ho 0.6626 0.3374 0.1871  7 Ni 2.90-3.03, 5 Si 2.99-3.23
Ho 0.9508 0.0492 0.0000  6 Ni 2.84-3.06, 5 Si 2.87-2.97
Si 0.1335 0.8665 0.8196  5 Ni 2.24-2.44
Si 0.2613 0.7387 0.2647  7 Ni 2.27-2.49
Si 0.4692 0.5308 0.6761  4 Ni 2.28-2.34
Si 0.5308 0.4692 0.1761  4 Ni 2.28-2.34
Si 0.7387 0.2613 0.7647  7 Ni 2.27-2.49
Si 0.8665 0.1335 0.3196  5 Ni 2.24-2.44
Ni 0.0737 0.9263 0.0854  3 Si 2.24-2.28
Ni 0.2092 0.7908 0.5619  4 Si 2.32-2.49, 4 Ni 2.49-2.54
Ni 0.2292 0.7708 0.9446  4 Si 2.27-2.33
Ni 0.3549 0.6451 0.1293  3 Si 2.31-2.37, 3 Ni 2.42-2.49
Ni 0.4414 0.5586 0.3413  2 Si 2.31-2.34, 1 Ni 2.42
Ni 0.5586 0.4414 0.8413  2 Si 2.31-2.34, 1 Ni 2.42
Ni 0.6451 0.3549 0.6293  3 Si 2.31-2.37, 3 Ni 2.42-2.49
Ni 0.7708 0.2292 0.4446  4 Si 2.27-2.33
Ni 0.7908 0.2092 0.0619  4 Si 2.32-2.49, 4 Ni 2.49-2.54
Ni 0.9263 0.0737 0.5854  3 Si 2.24-2.28

***

HoSi3Ni10: relaxed, PBE-GGA.

Computed properties:
Total moment in μB per formula unit: 0.0

Cell lengths 8.0107, 8.0107, 8.0107 Å; angles 60.00, 60.00, 60.00 degrees
Last column: nearest neighbours and their distance in Å.
Positions (direct):
Ho 0.2500 0.2500 0.2500  4 Ni 2.66
Ho 0.7500 0.7500 0.7500  4 Ni 2.66
Si 0.2361 0.2361 0.7639  8 Ni 2.23-2.29
Si 0.2361 0.7639 0.2361  8 Ni 2.23-2.29
Si 0.2361 0.7639 0.7639  8 Ni 2.23-2.29
Si 0.7639 0.2361 0.2361  8 Ni 2.23-2.29
Si 0.7639 0.2361 0.7639  8 Ni 2.23-2.29
Si 0.7639 0.7639 0.2361  8 Ni 2.23-2.29
Ni 0.1146 0.1146 0.1146  3 Si 2.29
Ni 0.1146 0.1146 0.6561  3 Si 2.29
Ni 0.1146 0.6561 0.1146  3 Si 2.29
Ni 0.1482 0.5000 0.5000  2 Si 2.23, 1 Ni 2.37
Ni 0.1482 0.5000 0.8518  2 Si 2.23, 1 Ni 2.37
Ni 0.1482 0.8518 0.5000  2 Si 2.23, 1 Ni 2.37
Ni 0.3439 0.8854 0.8854  3 Si 2.29
Ni 0.5000 0.1482 0.5000  2 Si 2.23, 1 Ni 2.37
Ni 0.5000 0.1482 0.8518  2 Si 2.23, 1 Ni 2.37
Ni 0.5000 0.5000 0.1482  2 Si 2.23, 1 Ni 2.37
Ni 0.5000 0.5000 0.8518  2 Si 2.23, 1 Ni 2.37
Ni 0.5000 0.8518 0.1482  2 Si 2.23, 1 Ni 2.37
Ni 0.5000 0.8518 0.5000  2 Si 2.23, 1 Ni 2.37
Ni 0.6561 0.1146 0.1146  3 Si 2.29
Ni 0.8518 0.1482 0.5000  2 Si 2.23, 1 Ni 2.37
Ni 0.8518 0.5000 0.1482  2 Si 2.23, 1 Ni 2.37
Ni 0.8518 0.5000 0.5000  2 Si 2.23, 1 Ni 2.37
Ni 0.8854 0.3439 0.8854  3 Si 2.29
Ni 0.8854 0.8854 0.3439  3 Si 2.29
Ni 0.8854 0.8854 0.8854  3 Si 2.29

***

HoSiNi3: relaxed, PBE-GGA.

Computed properties:
Total moment in μB per formula unit: 0.0
E above lowest polymorph in meV/atom: 97.7

Cell lengths 5.6720, 5.6720, 10.8701 Å; angles 90.00, 90.00, 120.00 degrees
Last column: nearest neighbours and their distance in Å.
Positions (direct):
Ho 0.0000 0.0000 0.0000  12 Ni 2.84-3.04
Ho 0.0000 0.0000 0.5000  12 Ni 2.84-3.04
Ho 0.3333 0.6667 0.2500  12 Ni 2.85-3.17
Ho 0.6667 0.3333 0.7500  12 Ni 2.85-3.17
Si 0.3333 0.6667 0.6389  6 Ni 2.23-2.27, 1 Si 2.42
Si 0.3333 0.6667 0.8611  6 Ni 2.23-2.27, 1 Si 2.42
Si 0.6667 0.3333 0.1389  6 Ni 2.23-2.27, 1 Si 2.42
Si 0.6667 0.3333 0.3611  6 Ni 2.23-2.27, 1 Si 2.42
Ni 0.0000 0.5000 0.0000  2 Si 2.23
Ni 0.0000 0.5000 0.5000  2 Si 2.23
Ni 0.1383 0.2766 0.7500  2 Si 2.27, 2 Ni 2.35
Ni 0.1383 0.8617 0.7500  2 Si 2.27, 2 Ni 2.35
Ni 0.2766 0.1383 0.2500  2 Si 2.27, 2 Ni 2.35
Ni 0.5000 0.0000 0.0000  2 Si 2.23
Ni 0.5000 0.0000 0.5000  2 Si 2.23
Ni 0.5000 0.5000 0.0000  2 Si 2.23
Ni 0.5000 0.5000 0.5000  2 Si 2.23
Ni 0.7234 0.8617 0.7500  2 Si 2.27, 2 Ni 2.35
Ni 0.8617 0.1383 0.2500  2 Si 2.27, 2 Ni 2.35
Ni 0.8617 0.7234 0.2500  2 Si 2.27, 2 Ni 2.35

***

Ho2Si6Ni9: relaxed, PBE-GGA.

Computed properties:
Total moment in μB per formula unit: 0.0

Cell lengths 5.1164, 5.1164, 10.8145 Å; angles 90.00, 90.00, 120.00 degrees
Last column: nearest neighbours and their distance in Å.
Positions (direct):
Ho 0.0000 0.0000 0.1851  6 Si 2.96, 12 Ni 3.01-3.25
Ho 0.0000 0.0000 0.8149  6 Si 2.96, 12 Ni 3.01-3.25
Si 0.3333 0.6667 0.1652  6 Ni 2.32-2.34
Si 0.3333 0.6667 0.5000  6 Ni 2.34
Si 0.3333 0.6667 0.8348  6 Ni 2.32-2.34
Si 0.6667 0.3333 0.1652  6 Ni 2.32-2.34
Si 0.6667 0.3333 0.5000  6 Ni 2.34
Si 0.6667 0.3333 0.8348  6 Ni 2.32-2.34
Ni 0.0000 0.5000 0.0000  4 Si 2.32, 4 Ni 2.56
Ni 0.0000 0.5000 0.3325  4 Si 2.34, 4 Ni 2.56
Ni 0.0000 0.5000 0.6675  4 Si 2.34, 4 Ni 2.56
Ni 0.5000 0.0000 0.0000  4 Si 2.32, 4 Ni 2.56
Ni 0.5000 0.0000 0.3325  4 Si 2.34, 4 Ni 2.56
Ni 0.5000 0.0000 0.6675  4 Si 2.34, 4 Ni 2.56
Ni 0.5000 0.5000 0.0000  4 Si 2.32, 4 Ni 2.56
Ni 0.5000 0.5000 0.3325  4 Si 2.34, 4 Ni 2.56
Ni 0.5000 0.5000 0.6675  4 Si 2.34, 4 Ni 2.56

***

Ho2SiNi: relaxed, PBE-GGA.

Computed properties:
Total moment in μB per formula unit: 0.0
E above lowest polymorph in meV/atom: 0.0

Cell lengths 5.7313, 4.0751, 7.6953 Å; angles 90.00, 110.49, 90.00 degrees
Last column: nearest neighbours and their distance in Å.
Positions (direct):
Ho 0.2214 0.2500 0.4435  3 Ni 2.86-2.93, 3 Si 2.95-2.96
Ho 0.2216 0.2500 0.9128  3 Ni 2.87-2.92, 4 Si 2.96-3.04
Ho 0.7784 0.7500 0.0872  3 Ni 2.87-2.92, 4 Si 2.96-3.04
Ho 0.7786 0.7500 0.5565  3 Ni 2.86-2.93, 3 Si 2.95-2.96
Si 0.3431 0.7500 0.2101  2 Ni 2.50
Si 0.6569 0.2500 0.7899  2 Ni 2.50
Ni 0.3883 0.7500 0.7206  2 Si 2.50
Ni 0.6117 0.2500 0.2794  2 Si 2.50

***

Ho2Si2Ni3: relaxed, PBE-GGA.

Computed properties:
Total moment in μB per formula unit: 0.0

Cell lengths 10.1813, 3.7153, 6.6570 Å; angles 90.00, 116.83, 90.00 degrees
Last column: nearest neighbours and their distance in Å.
Positions (direct):
Ho 0.1337 0.0000 0.2605  4 Si 2.89-3.01, 7 Ni 2.90-3.13
Ho 0.3663 0.5000 0.7395  4 Si 2.89-3.01, 7 Ni 2.90-3.13
Ho 0.6337 0.5000 0.2605  4 Si 2.89-3.01, 7 Ni 2.90-3.13
Ho 0.8663 0.0000 0.7395  4 Si 2.89-3.01, 7 Ni 2.90-3.13
Si 0.1439 0.0000 0.7200  5 Ni 2.34-2.41
Si 0.3561 0.5000 0.2800  5 Ni 2.34-2.41
Si 0.6439 0.5000 0.7200  5 Ni 2.34-2.41
Si 0.8561 0.0000 0.2800  5 Ni 2.34-2.41
Ni 0.0000 0.5000 0.5000  4 Si 2.41, 2 Ni 2.55
Ni 0.1381 0.5000 0.9286  3 Si 2.34-2.39, 1 Ni 2.55
Ni 0.3619 0.0000 0.0714  3 Si 2.34-2.39, 1 Ni 2.55
Ni 0.5000 0.0000 0.5000  4 Si 2.41, 2 Ni 2.55
Ni 0.6381 0.0000 0.9286  3 Si 2.34-2.39, 1 Ni 2.55
Ni 0.8619 0.5000 0.0714  3 Si 2.34-2.39, 1 Ni 2.55

***

Ho2Si3Ni2: relaxed, PBE-GGA.

Computed properties:
Total moment in μB per formula unit: 0.0
E above lowest polymorph in meV/atom: 0.0

Cell lengths 8.8466, 8.8466, 6.5779 Å; angles 90.00, 90.00, 153.46 degrees
Last column: nearest neighbours and their distance in Å.
Positions (direct):
Ho 0.0526 0.9474 0.7500  9 Si 2.92-3.10
Ho 0.1583 0.8417 0.2500  6 Ni 2.84-2.92, 6 Si 2.87-2.88
Ho 0.8417 0.1583 0.7500  6 Ni 2.84-2.92, 6 Si 2.87-2.88
Ho 0.9474 0.0526 0.2500  9 Si 2.92-3.10
Si 0.2232 0.7768 0.7500  6 Ni 2.45-2.46
Si 0.4360 0.5640 0.5666  2 Si 2.37-2.41, 1 Ni 2.38
Si 0.4360 0.5640 0.9334  2 Si 2.37-2.41, 1 Ni 2.38
Si 0.5640 0.4360 0.0666  2 Si 2.37-2.41, 1 Ni 2.38
Si 0.5640 0.4360 0.4334  2 Si 2.37-2.41, 1 Ni 2.38
Si 0.7768 0.2232 0.2500  6 Ni 2.45-2.46
Ni 0.3054 0.6946 0.0538  4 Si 2.38-2.46, 1 Ni 2.58
Ni 0.3054 0.6946 0.4462  4 Si 2.38-2.46, 1 Ni 2.58
Ni 0.6946 0.3054 0.5538  4 Si 2.38-2.46, 1 Ni 2.58
Ni 0.6946 0.3054 0.9462  4 Si 2.38-2.46, 1 Ni 2.58

***

The evaluated calculated volume for the records listed, in turn: 270 88 85 95 170 150 182 76 245 84 112 115 Å³/f.u..
The evaluated VASP energy for the records listed, in turn: -130.912 -71.445 -112.214 -170.626 -46.158 -122.324 -167.728 -117.941 -103.331 -45.936 -84.769 -85.202 eV for the cell shown.